# TlAs2Cl | Alexandria | PBE-GGA | optimized geometry
# mass density	5.39	Mg/m³
# electronic total energy	-3.7430	eV/atom
# E above lowest polymorph	0.0	kJ/mol of atoms
data_TlAs2Cl
_symmetry_space_group_name_H-M 'R 3 m'
_symmetry_Int_Tables_number 160
_symmetry_space_group_name_Hall 'R 3 -2"'
_cell_length_a 3.7728
_cell_length_b 3.7728
_cell_length_c 29.1924
_cell_angle_alpha 90.00
_cell_angle_beta 90.00
_cell_angle_gamma 120.00
loop_
_atom_site_label
_atom_site_fract_x
_atom_site_fract_y
_atom_site_fract_z
Tl1 0.0000 0.0000 0.0000
As1 0.0000 0.0000 0.2185
As2 0.0000 0.0000 0.5056
Cl1 0.0000 0.0000 0.7299